(1)
The following is a PBE calculation of a geometry-optimized CoB2Cl structure, from Alexandria.

Computed properties:
Polymorph energy (0 for the lowest one) ... 0 meV/atom

Unit cell a=4.845 b=4.845 c=9.260 alpha=90.00 beta=90.00 gamma=90.00
Space group I-42d (No. 122)
One atom of each set of equivalent atoms:
Co1 0.000 0.000 0.000
B1 0.177 0.250 0.125
Cl1 0.000 0.000 0.500

---

(2)
The following is a PBE calculation of a geometry-optimized CoB2Cl structure, from Alexandria.

Computed properties:
Polymorph energy (0 for the lowest one) ... 1115 meV/atom

Unit cell a=5.442 b=5.442 c=5.442 alpha=90.00 beta=90.00 gamma=90.00
Space group Fm-3m (No. 225)
One atom of each set of equivalent atoms:
Co1 0.000 0.000 0.000
B1 0.250 0.250 0.250
Cl1 0.000 0.000 0.500

---

(3)
The following is a PBE calculation of a geometry-optimized CoBCl3 structure, from Alexandria.

Computed properties:
Polymorph energy (0 for the lowest one) ... 84 meV/atom

Unit cell a=4.386 b=4.386 c=4.386 alpha=90.00 beta=90.00 gamma=90.00
Space group Pm-3m (No. 221)
One atom of each set of equivalent atoms:
Co1 0.000 0.000 0.000
B1 0.500 0.500 0.500
Cl1 0.000 0.500 0.500

---

(4)
The following is a PBE calculation of a geometry-optimized CoB3Cl structure, from Alexandria.

Computed properties:
Polymorph energy (0 for the lowest one) ... 0 meV/atom

Unit cell a=3.912 b=3.912 c=3.912 alpha=90.00 beta=90.00 gamma=90.00
Space group Pm-3m (No. 221)
One atom of each set of equivalent atoms:
Co1 0.000 0.000 0.000
B1 0.000 0.000 0.500
Cl1 0.500 0.500 0.500

---

(5)
The following is a PBE calculation of a geometry-optimized CoB3Cl structure, from Alexandria.

Computed properties:
Polymorph energy (0 for the lowest one) ... 1405 meV/atom

Unit cell a=3.777 b=3.777 c=3.777 alpha=90.00 beta=90.00 gamma=90.00
Space group Pm-3m (No. 221)
One atom of each set of equivalent atoms:
Co1 0.000 0.000 0.000
B1 0.000 0.500 0.500
Cl1 0.500 0.500 0.500

---

(6)
The following is a PBE calculation of a geometry-optimized Co2BCl structure, from Alexandria.

Computed properties:
Polymorph energy (0 for the lowest one) ... 474 meV/atom

Unit cell a=5.529 b=5.529 c=5.529 alpha=90.00 beta=90.00 gamma=90.00
Space group Fm-3m (No. 225)
One atom of each set of equivalent atoms:
Co1 0.250 0.250 0.250
B1 0.000 0.000 0.000
Cl1 0.000 0.000 0.500

---

(7)
The following is a PBE calculation of a geometry-optimized FeCoB2Cl structure, from Alexandria.

Unit cell a=3.792 b=3.792 c=3.987 alpha=90.00 beta=90.00 gamma=90.00
Space group P4/mmm (No. 123)
One atom of each set of equivalent atoms:
Fe1 0.000 0.000 0.000
Co1 0.500 0.500 0.000
B1 0.000 0.500 0.500
Cl1 0.000 0.000 0.500

---

(8)
The following is a PBE calculation of a geometry-optimized GaCoB2Cl structure, from Alexandria.

Unit cell a=3.972 b=3.972 c=5.440 alpha=90.00 beta=90.00 gamma=90.00
Space group P4/mmm (No. 123)
One atom of each set of equivalent atoms:
Ga1 0.000 0.000 0.000
Co1 0.500 0.500 0.500
B1 0.000 0.500 0.000
Cl1 0.000 0.000 0.500

---

| no. | uncorrected formation energy (eV/atom) | total magnetization (Bohr magnetons per cell) | energy (eV/atom) |
| --- | --- | --- | --- |
| 1 | 0.898 | 0.0 | -4.68 |
| 2 | 2.012 | 0.0 | -3.56 |
| 3 | 0.691 | 2.4 | -3.17 |
| 4 | 1.046 | 0.0 | -4.75 |
| 5 | 2.451 | 1.3 | -3.35 |
| 6 | 0.852 | 7.7 | -4.83 |
| 7 | 2.104 | 2.9 | -4.05 |
| 8 | 1.588 | 1.8 | -3.48 |